Here is crystalline MgTcIr2 at its relaxed geometry from Alexandria. Energies are from PBE-GGA.

Cell: 2.843 4.664 4.521 Å, 90.00 90.00 90.00°
Positions (direct):
Ir: 0.000 0.000 0.000
Tc: 0.000 0.500 0.500
Ir: 0.500 0.500 0.000
Mg: 0.500 0.000 0.500

For the formation energy, the calculation gives 0.42 eV/f.u. The magnetization comes out at 0.00 μB per atom. The uncorrected energy is -7.315 eV/atom.